# 1
An optimized crystal structure of CsCr. Source: Alexandria, functional PBE.

Properties
As for the density of states at the Fermi level: 2.50 states/eV/f.u. The calculation puts the energy above the most stable polymorph in this dataset at 0.95 eV/f.u. The total magnetic moment comes out at 0.2 μB per formula unit.

a = 15.318 Å, b = 15.318 Å, c = 3.238 Å
α = 90.00°, β = 90.00°, γ = 90.00°
Space group I4/m (No. 87)
Inequivalent atoms, fractional coordinates:
Cs: 0.019 0.753 0.000 [8 per cell]
Cr: 0.206 0.249 0.500 [8 per cell]

# 2
An optimized crystal structure of NiIr2Rh. Source: Alexandria, functional PBE.

Properties
Its total energy is -7.706 eV per atom. As for the density of states at the Fermi level: 5.00 states/eV/f.u. The total magnetic moment comes out at 0.0 μB per formula unit.

a = 8.879 Å, b = 2.714 Å, c = 4.610 Å
α = 90.00°, β = 100.43°, γ = 90.00°
Space group Cm (No. 8)
Inequivalent atoms, fractional coordinates:
Ni: 0.000 0.000 0.000 [2 per cell]
Ir: 0.247 0.500 0.251 [2 per cell]
Ir: 0.497 0.000 0.493 [2 per cell]
Rh: 0.250 0.000 0.757 [2 per cell]

Repeat the second record exactly.
An optimized crystal structure of NiIr2Rh. Source: Alexandria, functional PBE.

Properties
Its total energy is -7.706 eV per atom. As for the density of states at the Fermi level: 5.00 states/eV/f.u. The total magnetic moment comes out at 0.0 μB per formula unit.

a = 8.879 Å, b = 2.714 Å, c = 4.610 Å
α = 90.00°, β = 100.43°, γ = 90.00°
Space group Cm (No. 8)
Inequivalent atoms, fractional coordinates:
Ni: 0.000 0.000 0.000 [2 per cell]
Ir: 0.247 0.500 0.251 [2 per cell]
Ir: 0.497 0.000 0.493 [2 per cell]
Rh: 0.250 0.000 0.757 [2 per cell]